Density functional theory data (PBEsol) for a relaxed NaV2P2H8O14 crystal.

Properties
* D(E_F): 10.9 states/eV per cell
* space-group type: No. 2
* magnetic moment: 1.0 μB per formula unit
* E: -6.64 eV per atom

abc: 6.272 6.262 12.937
angles: 87.15 81.37 89.96
Each line ends with the local moment (μB).
Element x y z (fractional)
Na 0.001 0.566 0.255  0.00
Na 0.999 0.434 0.745  0.00
V 0.273 0.761 0.450  0.52
V 0.727 0.239 0.550  0.52
V 0.243 0.237 0.052  0.52
V 0.757 0.763 0.948  0.52
P 0.247 0.251 0.497  0.00
P 0.753 0.749 0.503  0.00
P 0.752 0.253 0.997  0.00
P 0.248 0.747 0.003  0.00
H 0.453 0.631 0.259  0.00
H 0.547 0.369 0.741  0.00
H 0.330 0.836 0.211  0.00
H 0.670 0.164 0.789  0.00
H 0.213 0.169 0.286  0.00
H 0.787 0.831 0.714  0.00
H 0.007 0.104 0.236  0.00
H 0.993 0.896 0.764  0.00
H 0.728 0.890 0.307  0.00
H 0.272 0.110 0.693  0.00
H 0.768 0.895 0.181  0.00
H 0.232 0.105 0.819  0.00
H 0.625 0.359 0.311  0.00
H 0.375 0.641 0.689  0.00
H 0.606 0.367 0.188  0.00
H 0.394 0.633 0.812  0.00
O 0.249 0.754 0.575  -0.05
O 0.751 0.246 0.425  -0.05
O 0.589 0.782 0.425  0.00
O 0.411 0.218 0.575  0.00
O 0.974 0.743 0.432  0.00
O 0.026 0.257 0.568  0.00
O 0.262 0.070 0.419  0.00
O 0.738 0.930 0.581  0.00
O 0.293 0.458 0.429  0.00
O 0.707 0.542 0.571  0.00
O 0.218 0.540 0.073  0.00
O 0.782 0.460 0.927  0.00
O 0.256 0.928 0.080  0.00
O 0.744 0.072 0.920  0.00
O 0.300 0.234 0.927  -0.05
O 0.700 0.766 0.073  -0.05
O 0.543 0.256 0.079  0.00
O 0.457 0.744 0.921  0.00
O 0.935 0.221 0.063  0.00
O 0.065 0.779 0.937  0.00
O 0.333 0.741 0.275  0.00
O 0.667 0.259 0.725  0.00
O 0.134 0.211 0.228  0.00
O 0.866 0.789 0.772  0.00
O 0.838 0.918 0.244  0.00
O 0.162 0.082 0.756  0.00
O 0.636 0.454 0.247  0.00
O 0.364 0.546 0.753  0.00


Density functional theory data (PBEsol) for a relaxed Na2ZnPHO5 crystal.

Properties
* D(E_F): 0.0 states/eV per cell
* space-group type: No. 14
* magnetic moment: 0.0 μB per formula unit
* E: -5.89 eV per atom

abc: 5.783 8.498 9.903
angles: 90.00 90.00 104.36
Element x y z (fractional)
Na 0.314 0.702 0.142
Na 0.352 0.613 0.828
Na 0.814 0.702 0.358
Na 0.852 0.613 0.672
Na 0.148 0.387 0.328
Na 0.186 0.298 0.642
Na 0.648 0.387 0.172
Na 0.686 0.298 0.858
Zn 0.227 0.988 0.855
Zn 0.727 0.988 0.645
Zn 0.273 0.012 0.355
Zn 0.773 0.012 0.145
P 0.363 0.705 0.507
P 0.863 0.705 0.993
P 0.137 0.295 0.007
P 0.637 0.295 0.493
H 0.137 0.950 0.620
H 0.637 0.950 0.880
H 0.363 0.050 0.120
H 0.863 0.050 0.380
O 0.434 0.990 0.189
O 0.934 0.990 0.311
O 0.239 0.851 0.499
O 0.122 0.769 0.933
O 0.739 0.851 0.001
O 0.622 0.769 0.567
O 0.385 0.641 0.364
O 0.216 0.579 0.605
O 0.885 0.641 0.136
O 0.716 0.579 0.895
O 0.284 0.421 0.105
O 0.115 0.359 0.864
O 0.784 0.421 0.395
O 0.615 0.359 0.636
O 0.378 0.231 0.433
O 0.261 0.149 0.999
O 0.878 0.231 0.067
O 0.761 0.149 0.501
O 0.066 0.010 0.689
O 0.566 0.010 0.811


Density functional theory data (PBEsol) for a relaxed NaZn2P2HO8 crystal.

Properties
* D(E_F): 0.0 states/eV per cell
* space-group type: No. 2
* magnetic moment: 0.0 μB per formula unit
* E: -6.35 eV per atom

abc: 5.110 8.619 8.810
angles: 96.88 100.44 106.42
Element x y z (fractional)
Na 0.416 0.188 0.691
Na 0.584 0.812 0.309
Zn 0.775 0.886 0.739
Zn 0.225 0.114 0.261
Zn 0.325 0.617 0.894
Zn 0.675 0.383 0.106
P 0.907 0.750 0.061
P 0.848 0.247 0.419
P 0.093 0.250 0.939
P 0.152 0.753 0.581
H 0.927 0.440 0.624
H 0.073 0.560 0.376
O 0.193 0.730 0.051
O 0.807 0.270 0.949
O 0.721 0.615 0.130
O 0.279 0.385 0.870
O 0.940 0.914 0.164
O 0.060 0.086 0.836
O 0.409 0.903 0.655
O 0.591 0.097 0.345
O 0.876 0.384 0.319
O 0.124 0.616 0.681
O 0.800 0.320 0.582
O 0.200 0.680 0.418
O 0.116 0.198 0.449
O 0.884 0.802 0.551
O 0.276 0.262 0.108
O 0.724 0.738 0.892


Density functional theory data (PBEsol) for a relaxed Na4PuH7O9 crystal.

Properties
* space-group type: No. 2
* magnetic moment: 1.0 μB per formula unit
* E: -5.89 eV per atom

abc: 5.916 7.940 10.816
angles: 102.54 100.42 109.25
Each line ends with the local moment (μB).
Element x y z (fractional)
Na 0.793 0.537 0.583  0.00
Na 0.207 0.463 0.417  0.00
Na 0.951 0.661 0.920  0.00
Na 0.049 0.339 0.080  0.00
Na 0.471 0.273 0.909  0.00
Na 0.529 0.727 0.091  0.00
Na 0.387 0.143 0.581  0.00
Na 0.613 0.857 0.419  0.00
Pu 0.367 0.585 0.750  1.31
Pu 0.633 0.415 0.250  1.31
H 0.601 0.838 0.626  0.00
H 0.399 0.162 0.374  0.00
H 0.068 0.346 0.863  0.00
H 0.932 0.654 0.137  0.00
H 0.865 0.186 0.623  0.00
H 0.135 0.814 0.377  0.00
H 0.752 0.117 0.779  0.00
H 0.248 0.883 0.221  0.00
H 0.713 0.012 0.890  0.00
H 0.287 0.988 0.110  0.00
H 0.163 0.919 0.737  0.00
H 0.837 0.081 0.263  0.00
H 0.999 0.038 0.694  0.00
H 0.001 0.962 0.306  0.00
O 0.154 0.720 0.756  -0.06
O 0.846 0.280 0.244  -0.06
O 0.621 0.780 0.891  -0.06
O 0.379 0.220 0.109  -0.06
O 0.577 0.446 0.747  -0.06
O 0.423 0.554 0.253  -0.06
O 0.113 0.388 0.610  -0.06
O 0.887 0.612 0.390  -0.06
O 0.520 0.699 0.597  -0.02
O 0.480 0.301 0.403  -0.02
O 0.212 0.464 0.906  -0.02
O 0.788 0.536 0.094  -0.02
O 0.748 0.075 0.638  0.00
O 0.252 0.925 0.362  0.00
O 0.760 0.140 0.880  0.00
O 0.240 0.860 0.120  0.00
O 0.174 0.043 0.725  0.00
O 0.826 0.957 0.275  0.00


Calculated volume / Å³ per cell: 501.7, 471.4, 360.0, 450.3